Record 1
First-principles (GGA-PBEsol) data for a relaxed structure of LiAs2P, as listed in Alexandria via LeMat-Bulk.

The structure in CIF format:
```
data_LiAs2P
_cell_length_a 3.101
_cell_length_b 3.101
_cell_length_c 6.790
_cell_angle_alpha 90.00
_cell_angle_beta 90.00
_cell_angle_gamma 90.00
_symmetry_space_group_name_H-M 'P 4/m m m'
_symmetry_Int_Tables_number 123
_symmetry_space_group_name_Hall '-P 4 2'
loop_
_atom_site_label
_atom_site_type_symbol
_atom_site_fract_x
_atom_site_fract_y
_atom_site_fract_z
Li1 Li 0.000 0.000 0.000
As1 As 0.500 0.500 0.265
P1 P 0.000 0.000 0.500
```

- Total energy: -17.377 eV/cell
- Calculated volume: 16.319 A^3/atom

=====

Record 2
First-principles (GGA-PBEsol) data for a relaxed structure of Li4AsP, as listed in Alexandria via LeMat-Bulk.

The structure in CIF format:
```
data_Li4AsP
_cell_length_a 6.974
_cell_length_b 6.974
_cell_length_c 6.974
_cell_angle_alpha 90.00
_cell_angle_beta 90.00
_cell_angle_gamma 90.00
_symmetry_space_group_name_H-M 'F -4 3 m'
_symmetry_Int_Tables_number 216
_symmetry_space_group_name_Hall 'F -4 2 3'
loop_
_atom_site_label
_atom_site_type_symbol
_atom_site_fract_x
_atom_site_fract_y
_atom_site_fract_z
Li1 Li 0.125 0.125 0.125
As1 As 0.250 0.250 0.750
P1 P 0.000 0.000 0.500
```

- Total energy: -76.224 eV/cell
- Calculated volume: 14.130 A^3/atom

=====

Record 3
First-principles (GGA-PBEsol) data for a relaxed structure of LiAs2P, as listed in Alexandria via LeMat-Bulk.

The structure in CIF format:
```
data_LiAs2P
_cell_length_a 2.701
_cell_length_b 3.444
_cell_length_c 7.174
_cell_angle_alpha 90.00
_cell_angle_beta 90.00
_cell_angle_gamma 90.00
_symmetry_space_group_name_H-M 'P m m m'
_symmetry_Int_Tables_number 47
_symmetry_space_group_name_Hall '-P 2 2'
loop_
_atom_site_label
_atom_site_type_symbol
_atom_site_fract_x
_atom_site_fract_y
_atom_site_fract_z
Li1 Li 0.000 0.000 0.000
As1 As 0.500 0.500 0.246
P1 P 0.500 0.000 0.500
```

- Total energy: -18.400 eV/cell
- Calculated volume: 16.681 A^3/atom

=====

Record 4
First-principles (GGA-PBEsol) data for a relaxed structure of LiAsP, as listed in Alexandria via LeMat-Bulk.

The structure in CIF format:
```
data_LiAsP
_cell_length_a 2.7351
_cell_length_b 2.7351
_cell_length_c 7.3517
_cell_angle_alpha 90.00
_cell_angle_beta 90.00
_cell_angle_gamma 120.00
_symmetry_space_group_name_H-M 'P 3 m 1'
_symmetry_Int_Tables_number 156
_symmetry_space_group_name_Hall 'P 3 -2"'
loop_
_atom_site_label
_atom_site_type_symbol
_atom_site_fract_x
_atom_site_fract_y
_atom_site_fract_z
Li1 Li 0.0000 0.0000 0.0000
As1 As 0.6667 0.3333 0.3066
P1 P 0.3333 0.6667 0.7222
```

- Total energy: -12.487 eV/cell
- Calculated volume: 15.876 A^3/atom
- Energy above the lowest structure with this stoichiometry: 256.4 meV per atom

=====

Record 5
First-principles (GGA-PBEsol) data for a relaxed structure of Li2AsP, as listed in Alexandria via LeMat-Bulk.

The structure in CIF format:
```
data_Li2AsP
_cell_length_a 2.606
_cell_length_b 2.606
_cell_length_c 9.786
_cell_angle_alpha 90.00
_cell_angle_beta 90.00
_cell_angle_gamma 90.00
_symmetry_space_group_name_H-M 'P 4 m m'
_symmetry_Int_Tables_number 99
_symmetry_space_group_name_Hall 'P 4 -2'
loop_
_atom_site_label
_atom_site_type_symbol
_atom_site_fract_x
_atom_site_fract_y
_atom_site_fract_z
Li1 Li 0.000 0.000 0.000
Li2 Li 0.500 0.500 0.273
As1 As 0.500 0.500 0.799
P1 P 0.000 0.000 0.457
```

- Total energy: -15.243 eV/cell
- Calculated volume: 16.609 A^3/atom

=====

Record 6
First-principles (GGA-PBEsol) data for a relaxed structure of LiAs2P, as listed in Alexandria via LeMat-Bulk.

The structure in CIF format:
```
data_LiAs2P
_cell_length_a 3.604
_cell_length_b 4.842
_cell_length_c 7.577
_cell_angle_alpha 90.00
_cell_angle_beta 90.00
_cell_angle_gamma 90.00
_symmetry_space_group_name_H-M 'C m m m'
_symmetry_Int_Tables_number 65
_symmetry_space_group_name_Hall '-C 2 2'
loop_
_atom_site_label
_atom_site_type_symbol
_atom_site_fract_x
_atom_site_fract_y
_atom_site_fract_z
Li1 Li 0.000 0.000 0.000
As1 As 0.000 0.500 0.260
P1 P 0.000 0.000 0.500
```

- Total energy: -34.931 eV/cell
- Calculated volume: 16.528 A^3/atom

=====

Record 7
First-principles (GGA-PBEsol) data for a relaxed structure of LiAs2P, as listed in Alexandria via LeMat-Bulk.

The structure in CIF format:
```
data_LiAs2P
_cell_length_a 4.048
_cell_length_b 4.048
_cell_length_c 3.981
_cell_angle_alpha 90.00
_cell_angle_beta 90.00
_cell_angle_gamma 90.00
_symmetry_space_group_name_H-M 'P 4/m m m'
_symmetry_Int_Tables_number 123
_symmetry_space_group_name_Hall '-P 4 2'
loop_
_atom_site_label
_atom_site_type_symbol
_atom_site_fract_x
_atom_site_fract_y
_atom_site_fract_z
Li1 Li 0.000 0.000 0.000
As1 As 0.000 0.500 0.500
P1 P 0.500 0.500 0.000
```

- Total energy: -17.742 eV/cell
- Calculated volume: 16.311 A^3/atom

=====

Record 8
First-principles (GGA-PBEsol) data for a relaxed structure of LiAsP, as listed in Alexandria via LeMat-Bulk.

The structure in CIF format:
```
data_LiAsP
_cell_length_a 2.620
_cell_length_b 4.110
_cell_length_c 9.714
_cell_angle_alpha 90.00
_cell_angle_beta 90.00
_cell_angle_gamma 90.00
_symmetry_space_group_name_H-M 'I m m 2'
_symmetry_Int_Tables_number 44
_symmetry_space_group_name_Hall 'I 2 -2'
loop_
_atom_site_label
_atom_site_type_symbol
_atom_site_fract_x
_atom_site_fract_y
_atom_site_fract_z
Li1 Li 0.000 0.000 0.000
As1 As 0.000 0.000 0.351
P1 P 0.000 0.000 0.591
```

- Total energy: -26.513 eV/cell
- Calculated volume: 17.430 A^3/atom
- Energy above the lowest structure with this stoichiometry: 0.0 meV per atom

=====

Record 9
First-principles (GGA-PBEsol) data for a relaxed structure of LiAs2P, as listed in Alexandria via LeMat-Bulk.

The structure in CIF format:
```
data_LiAs2P
_cell_length_a 5.468
_cell_length_b 7.102
_cell_length_c 3.348
_cell_angle_alpha 90.00
_cell_angle_beta 90.00
_cell_angle_gamma 90.00
_symmetry_space_group_name_H-M 'C m m m'
_symmetry_Int_Tables_number 65
_symmetry_space_group_name_Hall '-C 2 2'
loop_
_atom_site_label
_atom_site_type_symbol
_atom_site_fract_x
_atom_site_fract_y
_atom_site_fract_z
Li1 Li 0.000 0.000 0.000
As1 As 0.250 0.250 0.500
P1 P 0.000 0.500 0.000
```

- Total energy: -35.746 eV/cell
- Calculated volume: 16.250 A^3/atom

=====

Record 10
First-principles (GGA-PBEsol) data for a relaxed structure of Li2AsPb, as listed in Alexandria via LeMat-Bulk.

The structure in CIF format:
```
data_Li2AsPb
_cell_length_a 6.695
_cell_length_b 6.695
_cell_length_c 6.695
_cell_angle_alpha 90.00
_cell_angle_beta 90.00
_cell_angle_gamma 90.00
_symmetry_space_group_name_H-M 'F m -3 m'
_symmetry_Int_Tables_number 225
_symmetry_space_group_name_Hall '-F 4 2 3'
loop_
_atom_site_label
_atom_site_type_symbol
_atom_site_fract_x
_atom_site_fract_y
_atom_site_fract_z
Li1 Li 0.250 0.250 0.250
As1 As 0.000 0.000 0.000
Pb1 Pb 0.000 0.000 0.500
```

- Total energy: -57.598 eV/cell
- Calculated volume: 18.755 A^3/atom

=====

Record 11
First-principles (GGA-PBEsol) data for a relaxed structure of LiAs2Pb, as listed in Alexandria via LeMat-Bulk.

The structure in CIF format:
```
data_LiAs2Pb
_cell_length_a 8.602
_cell_length_b 3.589
_cell_length_c 5.775
_cell_angle_alpha 90.00
_cell_angle_beta 101.82
_cell_angle_gamma 90.00
_symmetry_space_group_name_H-M 'C 1 2/m 1'
_symmetry_Int_Tables_number 12
_symmetry_space_group_name_Hall '-C 2y'
loop_
_atom_site_label
_atom_site_type_symbol
_atom_site_fract_x
_atom_site_fract_y
_atom_site_fract_z
Li1 Li 0.000 0.000 0.000
As1 As 0.248 0.500 0.163
Pb1 Pb 0.000 0.500 0.500
```

- Total energy: -33.731 eV/cell
- Calculated volume: 21.815 A^3/atom

=====

Record 12
First-principles (GGA-PBEsol) data for a relaxed structure of LiAsPb3, as listed in Alexandria via LeMat-Bulk.

The structure in CIF format:
```
data_LiAsPb3
_cell_length_a 5.617
_cell_length_b 5.617
_cell_length_c 5.617
_cell_angle_alpha 90.00
_cell_angle_beta 90.00
_cell_angle_gamma 90.00
_symmetry_space_group_name_H-M 'P m -3 m'
_symmetry_Int_Tables_number 221
_symmetry_space_group_name_Hall '-P 4 2 3'
loop_
_atom_site_label
_atom_site_type_symbol
_atom_site_fract_x
_atom_site_fract_y
_atom_site_fract_z
Li1 Li 0.000 0.000 0.000
As1 As 0.500 0.500 0.500
Pb1 Pb 0.000 0.500 0.500
```

- Total energy: -17.139 eV/cell
- Calculated volume: 35.446 A^3/atom